Material: ScCdOs2
Method: DFT, PBE-GGA
State: optimized geometry

Results
Mass density = 13.11 g/cm3
DOS at the Fermi energy = 5.8 states/eV per cell
Space-group type = No. 123
Formation enthalpy at 0 K = 405.0 meV per atom

Unit cell a=2.825 b=2.825 c=8.537 alpha=90.00 beta=90.00 gamma=90.00
Atoms (fractional coordinates):
Cd 0.500 0.500 0.750
Os 0.000 0.000 0.005
Os 0.000 0.000 0.495
Sc 0.500 0.500 0.250